Record 1
YZrSc2O | PBE-GGA | optimized geometry

a = 4.474 Å, b = 4.474 Å, c = 4.976 Å
α = 90.00°, β = 90.00°, γ = 90.00°
Fractional positions:
Y  0.000  0.000  0.000
Zr  0.500  0.500  0.000
Sc  0.000  0.500  0.500
Sc  0.500  0.000  0.500
O  0.000  0.000  0.500

Space-group type ... P4/mmm (123)
DFT total energy ... -7.62 eV/atom
M_tot ... 0.000 μB per atom

***

Record 2
CrCdAu | PBE-GGA | optimized geometry

a = 6.430 Å, b = 6.430 Å, c = 6.430 Å
α = 90.00°, β = 90.00°, γ = 90.00°
Fractional positions:
Cr  0.000  0.000  0.000
Cr  0.000  0.500  0.500
Cr  0.500  0.000  0.500
Cr  0.500  0.500  0.000
Cd  0.000  0.000  0.500
Cd  0.000  0.500  0.000
Cd  0.500  0.000  0.000
Cd  0.500  0.500  0.500
Au  0.250  0.250  0.250
Au  0.250  0.750  0.750
Au  0.750  0.250  0.750
Au  0.750  0.750  0.250

Space-group type ... F-43m (216)
ΔE_f ... 0.3011 eV per atom
M_tot ... 1.438 μB per atom

***

Record 3
Al2Ga2Rh3 | PBE-GGA | optimized geometry

a = 4.213 Å, b = 4.216 Å, c = 7.262 Å
α = 73.44°, β = 73.77°, γ = 60.08°
Fractional positions:
Al  0.123  0.120  0.138
Al  0.877  0.880  0.862
Ga  0.376  0.370  0.387
Ga  0.624  0.630  0.613
Rh  0.243  0.248  0.758
Rh  0.500  0.500  0.000
Rh  0.757  0.752  0.242

Space-group type ... P-1 (2)
ΔE_f ... -0.7787 eV per atom
M_tot ... 0.000 μB per atom

***

Record 4
Th2OsI | PBE-GGA | optimized geometry

a = 4.214 Å, b = 4.214 Å, c = 24.926 Å
α = 90.00°, β = 90.00°, γ = 120.00°
Fractional positions:
Th  0.000  0.000  0.000
Th  0.000  0.000  0.217
Th  0.333  0.667  0.667
Th  0.333  0.667  0.883
Th  0.667  0.333  0.333
Th  0.667  0.333  0.550
Os  0.000  0.000  0.608
Os  0.333  0.667  0.275
Os  0.667  0.333  0.942
I  0.000  0.000  0.439
I  0.333  0.667  0.105
I  0.667  0.333  0.772

Space-group type ... R3m (160)
DFT total energy ... -7.58 eV/atom
M_tot ... 0.000 μB per atom

***

Record 5
Ce2TmSc8 | PBE-GGA | optimized geometry

a = 8.589 Å, b = 8.589 Å, c = 5.470 Å
α = 105.42°, β = 105.42°, γ = 121.05°
Fractional positions:
Ce  0.196  0.804  0.000
Ce  0.804  0.196  0.000
Tm  0.500  0.500  0.500
Sc  0.069  0.069  0.295
Sc  0.171  0.401  0.823
Sc  0.290  0.710  0.500
Sc  0.401  0.171  0.823
Sc  0.599  0.829  0.177
Sc  0.710  0.290  0.500
Sc  0.829  0.599  0.177
Sc  0.931  0.931  0.705

Space-group type ... C2/m (12)
ΔE_f ... 0.1988 eV per atom
M_tot ... 0.145 μB per atom

***

Record 6
YTiZn2O | PBE-GGA | optimized geometry

a = 4.677 Å, b = 4.677 Å, c = 4.297 Å
α = 90.00°, β = 90.00°, γ = 90.00°
Fractional positions:
Y  0.000  0.000  0.000
Ti  0.500  0.500  0.000
Zn  0.000  0.500  0.500
Zn  0.500  0.000  0.500
O  0.000  0.000  0.500

Space-group type ... P4/mmm (123)
DFT total energy ... -4.83 eV/atom
M_tot ... 0.554 μB per atom

***

Record 7
LaTcAg2 | PBE-GGA | optimized geometry

a = 3.986 Å, b = 3.986 Å, c = 21.757 Å
α = 90.00°, β = 90.00°, γ = 90.00°
Fractional positions:
La  0.000  0.000  0.000
La  0.000  0.500  0.250
La  0.500  0.000  0.750
La  0.500  0.500  0.500
Tc  0.000  0.000  0.500
Tc  0.000  0.500  0.750
Tc  0.500  0.000  0.250
Tc  0.500  0.500  0.000
Ag  0.230  0.250  0.625
Ag  0.250  0.730  0.875
Ag  0.250  0.770  0.375
Ag  0.270  0.250  0.125
Ag  0.730  0.750  0.125
Ag  0.750  0.230  0.375
Ag  0.750  0.270  0.875
Ag  0.770  0.750  0.625

Space-group type ... I-42d (122)
ΔE_f ... 0.4905 eV per atom
M_tot ... 0.001 μB per atom

***

Record 8
MnV2Mo | PBE-GGA | optimized geometry

a = 2.660 Å, b = 4.503 Å, c = 9.423 Å
α = 90.00°, β = 90.00°, γ = 90.00°
Fractional positions:
Mn  0.000  0.000  0.000
Mn  0.500  0.500  0.500
V  0.000  0.000  0.228
V  0.000  0.000  0.772
V  0.500  0.500  0.272
V  0.500  0.500  0.728
Mo  0.000  0.000  0.500
Mo  0.500  0.500  0.000

Space-group type ... Immm (71)
ΔE_f ... 0.5206 eV per atom
M_tot ... 0.000 μB per atom

***

Record 9
Er3Ti5H12 | PBE-GGA | optimized geometry

a = 10.143 Å, b = 10.143 Å, c = 10.143 Å
α = 109.47°, β = 109.47°, γ = 109.47°
Fractional positions:
Er  0.125  0.250  0.375
Er  0.125  0.375  0.750
Er  0.250  0.375  0.125
Er  0.250  0.875  0.625
Er  0.375  0.125  0.250
Er  0.375  0.750  0.125
Er  0.625  0.250  0.875
Er  0.625  0.875  0.750
Er  0.750  0.125  0.375
Er  0.750  0.625  0.875
Er  0.875  0.625  0.250
Er  0.875  0.750  0.625
Ti  0.000  0.000  0.000
Ti  0.000  0.000  0.500
Ti  0.000  0.500  0.000
Ti  0.000  0.500  0.500
Ti  0.125  0.750  0.875
Ti  0.125  0.875  0.250
Ti  0.250  0.125  0.875
Ti  0.250  0.625  0.375
Ti  0.375  0.250  0.625
Ti  0.375  0.625  0.750
Ti  0.500  0.000  0.000
Ti  0.500  0.000  0.500
Ti  0.500  0.500  0.000
Ti  0.500  0.500  0.500
Ti  0.625  0.375  0.250
Ti  0.625  0.750  0.375
Ti  0.750  0.375  0.625
Ti  0.750  0.875  0.125
Ti  0.875  0.125  0.750
Ti  0.875  0.250  0.125
H  0.046  0.211  0.132
H  0.046  0.335  0.914
H  0.079  0.711  0.665
H  0.079  0.868  0.414
H  0.086  0.632  0.421
H  0.086  0.954  0.665
H  0.132  0.046  0.211
H  0.132  0.586  0.921
H  0.165  0.211  0.579
H  0.165  0.454  0.586
H  0.211  0.132  0.046
H  0.211  0.579  0.165
H  0.289  0.335  0.921
H  0.289  0.454  0.368
H  0.335  0.914  0.046
H  0.335  0.921  0.289
H  0.368  0.289  0.454
H  0.368  0.579  0.914
H  0.414  0.079  0.868
H  0.414  0.835  0.546
H  0.421  0.086  0.632
H  0.421  0.835  0.789
H  0.454  0.368  0.289
H  0.454  0.586  0.165
H  0.546  0.414  0.835
H  0.546  0.632  0.711
H  0.579  0.165  0.211
H  0.579  0.914  0.368
H  0.586  0.165  0.454
H  0.586  0.921  0.132
H  0.632  0.421  0.086
H  0.632  0.711  0.546
H  0.665  0.079  0.711
H  0.665  0.086  0.954
H  0.711  0.546  0.632
H  0.711  0.665  0.079
H  0.789  0.421  0.835
H  0.789  0.868  0.954
H  0.835  0.546  0.414
H  0.835  0.789  0.421
H  0.868  0.414  0.079
H  0.868  0.954  0.789
H  0.914  0.046  0.335
H  0.914  0.368  0.579
H  0.921  0.132  0.586
H  0.921  0.289  0.335
H  0.954  0.665  0.086
H  0.954  0.789  0.868

Space-group type ... Ia-3d (230)
DFT total energy ... -5.08 eV/atom
M_tot ... 0.000 μB per atom

***

Record 10
Sr2TbIn3Pt4 | PBE-GGA | optimized geometry

a = 4.660 Å, b = 4.660 Å, c = 11.412 Å
α = 90.00°, β = 90.00°, γ = 90.00°
Fractional positions:
Sr  0.000  0.500  0.223
Sr  0.500  0.000  0.777
Tb  0.000  0.000  0.500
In  0.000  0.500  0.878
In  0.500  0.000  0.122
In  0.500  0.500  0.500
Pt  0.000  0.000  0.000
Pt  0.000  0.500  0.642
Pt  0.500  0.000  0.358
Pt  0.500  0.500  0.000

Space-group type ... P-4m2 (115)
ΔE_f ... -0.7647 eV per atom
M_tot ... 0.000 μB per atom

***

Record 11
TbZr3Sc2N6 | PBE-GGA | optimized geometry

a = 5.671 Å, b = 5.671 Å, c = 5.693 Å
α = 99.61°, β = 99.61°, γ = 119.89°
Fractional positions:
Tb  0.000  0.000  0.000
Zr  0.168  0.832  0.500
Zr  0.500  0.500  0.500
Zr  0.832  0.168  0.500
Sc  0.333  0.667  0.000
Sc  0.667  0.333  0.000
N  0.085  0.429  0.256
N  0.259  0.259  0.745
N  0.429  0.085  0.256
N  0.571  0.915  0.744
N  0.741  0.741  0.255
N  0.915  0.571  0.744

Space-group type ... C2/m (12)
DFT total energy ... -9.51 eV/atom
M_tot ... 0.000 μB per atom

***

Record 12
CsTl6 | PBE-GGA | optimized geometry

a = 8.615 Å, b = 8.615 Å, c = 8.615 Å
α = 90.00°, β = 90.00°, γ = 90.00°
Fractional positions:
Cs  0.000  0.000  0.000
Cs  0.500  0.500  0.500
Tl  0.000  0.250  0.500
Tl  0.000  0.500  0.250
Tl  0.000  0.500  0.750
Tl  0.000  0.750  0.500
Tl  0.250  0.000  0.500
Tl  0.250  0.500  0.000
Tl  0.500  0.000  0.250
Tl  0.500  0.000  0.750
Tl  0.500  0.250  0.000
Tl  0.500  0.750  0.000
Tl  0.750  0.000  0.500
Tl  0.750  0.500  0.000

Space-group type ... Im-3m (229)
ΔE_f ... 0.0892 eV per atom
M_tot ... 0.000 μB per atom

***

Copy entry 12 word for word.
CsTl6 | PBE-GGA | optimized geometry

a = 8.615 Å, b = 8.615 Å, c = 8.615 Å
α = 90.00°, β = 90.00°, γ = 90.00°
Fractional positions:
Cs  0.000  0.000  0.000
Cs  0.500  0.500  0.500
Tl  0.000  0.250  0.500
Tl  0.000  0.500  0.250
Tl  0.000  0.500  0.750
Tl  0.000  0.750  0.500
Tl  0.250  0.000  0.500
Tl  0.250  0.500  0.000
Tl  0.500  0.000  0.250
Tl  0.500  0.000  0.750
Tl  0.500  0.250  0.000
Tl  0.500  0.750  0.000
Tl  0.750  0.000  0.500
Tl  0.750  0.500  0.000

Space-group type ... Im-3m (229)
ΔE_f ... 0.0892 eV per atom
M_tot ... 0.000 μB per atom